Material: GdLuCdHg
Method: DFT, PBE
State: optimized geometry

Unit cell a=7.4242 b=7.4242 c=7.4242 alpha=90.00 beta=90.00 gamma=90.00
Space group F-43m (No. 216)
Symmetry-distinct sites (fractional):
Gd: 0.0000 0.0000 0.0000 x4
Lu: 0.0000 0.0000 0.5000 x4
Cd: 0.2500 0.2500 0.7500 x4
Hg: 0.2500 0.2500 0.2500 x4

Values from the calculation:
The calculation puts the formation energy from the elements at -38.07 kJ per mole of atoms. The value obtained for the density of states at the Fermi level is 1.068 states/eV per atom.

---

Material: GdCdHgPd
Method: DFT, PBE
State: optimized geometry

Unit cell a=7.0491 b=7.0491 c=7.0491 alpha=90.00 beta=90.00 gamma=90.00
Space group F-43m (No. 216)
Symmetry-distinct sites (fractional):
Gd: 0.0000 0.0000 0.0000 x4
Cd: 0.0000 0.0000 0.5000 x4
Hg: 0.2500 0.2500 0.7500 x4
Pd: 0.2500 0.2500 0.2500 x4

Values from the calculation:
The calculation puts the formation energy from the elements at -47.91 kJ per mole of atoms. The value obtained for the density of states at the Fermi level is 0.826 states/eV per atom.

---

Material: PrGdCdHg
Method: DFT, PBE
State: optimized geometry

Unit cell a=7.6407 b=7.6407 c=7.6407 alpha=90.00 beta=90.00 gamma=90.00
Space group F-43m (No. 216)
Symmetry-distinct sites (fractional):
Pr: 0.0000 0.0000 0.0000 x4
Gd: 0.0000 0.0000 0.5000 x4
Cd: 0.2500 0.2500 0.2500 x4
Hg: 0.2500 0.2500 0.7500 x4

Values from the calculation:
The calculation puts the formation energy from the elements at -39.43 kJ per mole of atoms. The value obtained for the density of states at the Fermi level is 1.233 states/eV per atom.

---

Material: GdCdHgPt
Method: DFT, PBE
State: optimized geometry

Unit cell a=7.0396 b=7.0396 c=7.0396 alpha=90.00 beta=90.00 gamma=90.00
Space group F-43m (No. 216)
Symmetry-distinct sites (fractional):
Gd: 0.0000 0.0000 0.0000 x4
Cd: 0.0000 0.0000 0.5000 x4
Hg: 0.2500 0.2500 0.7500 x4
Pt: 0.2500 0.2500 0.2500 x4

Values from the calculation:
The calculation puts the formation energy from the elements at -55.11 kJ per mole of atoms. The value obtained for the density of states at the Fermi level is 0.751 states/eV per atom.

---

Material: GdCdHgRh
Method: DFT, PBE
State: optimized geometry

Unit cell a=6.9807 b=6.9807 c=6.9807 alpha=90.00 beta=90.00 gamma=90.00
Space group F-43m (No. 216)
Symmetry-distinct sites (fractional):
Gd: 0.0000 0.0000 0.0000 x4
Cd: 0.0000 0.0000 0.5000 x4
Hg: 0.2500 0.2500 0.2500 x4
Rh: 0.2500 0.2500 0.7500 x4

Values from the calculation:
The calculation puts the formation energy from the elements at -33.38 kJ per mole of atoms. The value obtained for the density of states at the Fermi level is 0.631 states/eV per atom.

---

Material: GdCdHgSb
Method: DFT, PBE
State: optimized geometry

Unit cell a=7.4765 b=7.4765 c=7.4765 alpha=90.00 beta=90.00 gamma=90.00
Space group F-43m (No. 216)
Symmetry-distinct sites (fractional):
Gd: 0.0000 0.0000 0.0000 x4
Cd: 0.0000 0.0000 0.5000 x4
Hg: 0.2500 0.2500 0.7500 x4
Sb: 0.2500 0.2500 0.2500 x4

Values from the calculation:
As for the uncorrected formation energy: -0.348 eV/atom. The value obtained for the density of states at the Fermi level is 0.956 states/eV per atom.

---

Material: GdScCdHg
Method: DFT, PBE
State: optimized geometry

Unit cell a=7.3114 b=7.3114 c=7.3114 alpha=90.00 beta=90.00 gamma=90.00
Space group F-43m (No. 216)
Symmetry-distinct sites (fractional):
Gd: 0.0000 0.0000 0.0000 x4
Sc: 0.0000 0.0000 0.5000 x4
Cd: 0.2500 0.2500 0.7500 x4
Hg: 0.2500 0.2500 0.2500 x4

Values from the calculation:
The calculation puts the formation energy from the elements at -35.46 kJ per mole of atoms. The value obtained for the density of states at the Fermi level is 1.043 states/eV per atom.

---

Material: SmGdCdHg
Method: DFT, PBE
State: optimized geometry

Unit cell a=7.5640 b=7.5640 c=7.5640 alpha=90.00 beta=90.00 gamma=90.00
Space group F-43m (No. 216)
Symmetry-distinct sites (fractional):
Sm: 0.0000 0.0000 0.0000 x4
Gd: 0.0000 0.0000 0.5000 x4
Cd: 0.2500 0.2500 0.7500 x4
Hg: 0.2500 0.2500 0.2500 x4

Values from the calculation:
The calculation puts the formation energy from the elements at -39.85 kJ per mole of atoms. The value obtained for the density of states at the Fermi level is 1.187 states/eV per atom.

---

Material: GdCdSnHg
Method: DFT, PBE
State: optimized geometry

Unit cell a=7.4011 b=7.4011 c=7.4011 alpha=90.00 beta=90.00 gamma=90.00
Space group F-43m (No. 216)
Symmetry-distinct sites (fractional):
Gd: 0.0000 0.0000 0.0000 x4
Cd: 0.0000 0.0000 0.5000 x4
Sn: 0.2500 0.2500 0.7500 x4
Hg: 0.2500 0.2500 0.2500 x4

Values from the calculation:
The calculation puts the formation energy from the elements at -30.51 kJ per mole of atoms. The value obtained for the density of states at the Fermi level is 0.837 states/eV per atom.

---

Material: TbGdCdHg
Method: DFT, PBE
State: optimized geometry

Unit cell a=7.5050 b=7.5050 c=7.5050 alpha=90.00 beta=90.00 gamma=90.00
Space group F-43m (No. 216)
Symmetry-distinct sites (fractional):
Tb: 0.0000 0.0000 0.0000 x4
Gd: 0.0000 0.0000 0.5000 x4
Cd: 0.2500 0.2500 0.7500 x4
Hg: 0.2500 0.2500 0.2500 x4

Values from the calculation:
The calculation puts the formation energy from the elements at -39.85 kJ per mole of atoms. The value obtained for the density of states at the Fermi level is 1.082 states/eV per atom.

---

Material: GdThCdHg
Method: DFT, PBE
State: optimized geometry

Unit cell a=7.6212 b=7.6212 c=7.6212 alpha=90.00 beta=90.00 gamma=90.00
Space group F-43m (No. 216)
Symmetry-distinct sites (fractional):
Gd: 0.0000 0.0000 0.0000 x4
Th: 0.0000 0.0000 0.5000 x4
Cd: 0.2500 0.2500 0.2500 x4
Hg: 0.2500 0.2500 0.7500 x4

Values from the calculation:
The calculation puts the formation energy from the elements at -24.55 kJ per mole of atoms. The value obtained for the density of states at the Fermi level is 0.935 states/eV per atom.

---

Material: GdTlCdHg
Method: DFT, PBE
State: optimized geometry

Unit cell a=7.4316 b=7.4316 c=7.4316 alpha=90.00 beta=90.00 gamma=90.00
Space group F-43m (No. 216)
Symmetry-distinct sites (fractional):
Gd: 0.0000 0.0000 0.0000 x4
Tl: 0.0000 0.0000 0.5000 x4
Cd: 0.2500 0.2500 0.2500 x4
Hg: 0.2500 0.2500 0.7500 x4

Values from the calculation:
The calculation puts the formation energy from the elements at -22.33 kJ per mole of atoms. The value obtained for the density of states at the Fermi level is 0.878 states/eV per atom.

---

Material: GdZnCdHg
Method: DFT, PBE
State: optimized geometry

Unit cell a=7.0824 b=7.0824 c=7.0824 alpha=90.00 beta=90.00 gamma=90.00
Space group F-43m (No. 216)
Symmetry-distinct sites (fractional):
Gd: 0.0000 0.0000 0.0000 x4
Zn: 0.2500 0.2500 0.7500 x4
Cd: 0.0000 0.0000 0.5000 x4
Hg: 0.2500 0.2500 0.2500 x4

Values from the calculation:
The calculation puts the formation energy from the elements at -31.13 kJ per mole of atoms. The value obtained for the density of states at the Fermi level is 0.597 states/eV per atom.

---

Material: GdHoCd
Method: DFT, PBE
State: optimized geometry

Unit cell a=3.3565 b=3.3565 c=17.8538 alpha=90.00 beta=90.00 gamma=90.00
Space group I4mm (No. 107)
Symmetry-distinct sites (fractional):
Gd: 0.0000 0.0000 0.0000 x2
Ho: 0.0000 0.0000 0.6403 x2
Cd: 0.0000 0.0000 0.8182 x2

Values from the calculation:
The calculation puts the formation energy from the elements at 27.50 kJ per mole of atoms. The energy above the most stable polymorph in this dataset comes out at 0.367 eV per atom. The value obtained for the density of states at the Fermi level is 1.463 states/eV per atom.

---

Material: GdHo2Cd
Method: DFT, PBE
State: optimized geometry

Unit cell a=3.5557 b=3.5557 c=32.3913 alpha=90.00 beta=90.00 gamma=120.00
Space group R-3m (No. 166, hexagonal axes)
Symmetry-distinct sites (fractional):
Gd: 0.0000 0.0000 0.0000 x3
Ho: 0.0000 0.0000 0.2440 x6
Cd: 0.0000 0.0000 0.5000 x3

Values from the calculation:
The calculation puts the formation energy from the elements at -6.50 kJ per mole of atoms. The energy above the most stable polymorph in this dataset comes out at 0.071 eV per atom. The value obtained for the density of states at the Fermi level is 1.169 states/eV per atom.

---

Material: GdHo2Cd
Method: DFT, PBE
State: optimized geometry

Unit cell a=4.8558 b=4.8558 c=4.8137 alpha=90.00 beta=90.00 gamma=90.00
Space group P4/mmm (No. 123)
Symmetry-distinct sites (fractional):
Gd: 0.0000 0.0000 0.0000 x1
Ho: 0.0000 0.5000 0.5000 x2
Cd: 0.5000 0.5000 0.0000 x1

Values from the calculation:
The calculation puts the formation energy from the elements at -9.48 kJ per mole of atoms. The energy above the most stable polymorph in this dataset comes out at 0.040 eV per atom. The value obtained for the density of states at the Fermi level is 1.406 states/eV per atom.

---

Material: GdHoCd
Method: DFT, PBE
State: optimized geometry

Unit cell a=5.2688 b=5.2688 c=3.5411 alpha=90.00 beta=90.00 gamma=120.00
Space group P3m1 (No. 156)
Symmetry-distinct sites (fractional):
Gd: 0.0000 0.0000 0.0000 x1
Ho: 0.6667 0.3333 0.4376 x1
Cd: 0.3333 0.6667 0.6840 x1

Values from the calculation:
The calculation puts the formation energy from the elements at -7.90 kJ per mole of atoms. The energy above the most stable polymorph in this dataset comes out at 0.000 eV per atom. The value obtained for the density of states at the Fermi level is 1.178 states/eV per atom.

---

Material: GdHo2Cd
Method: DFT, PBE
State: optimized geometry

Unit cell a=3.5764 b=3.5764 c=9.0409 alpha=90.00 beta=90.00 gamma=90.00
Space group P4/mmm (No. 123)
Symmetry-distinct sites (fractional):
Gd: 0.0000 0.0000 0.0000 x1
Ho: 0.5000 0.5000 0.2747 x2
Cd: 0.0000 0.0000 0.5000 x1

Values from the calculation:
The calculation puts the formation energy from the elements at -13.34 kJ per mole of atoms. The energy above the most stable polymorph in this dataset comes out at 0.000 eV per atom. The value obtained for the density of states at the Fermi level is 1.352 states/eV per atom.

---

Material: GdHo2Cd
Method: DFT, PBE
State: optimized geometry

Unit cell a=7.6699 b=7.6699 c=7.6699 alpha=90.00 beta=90.00 gamma=90.00
Space group Fm-3m (No. 225)
Symmetry-distinct sites (fractional):
Gd: 0.0000 0.0000 0.0000 x4
Ho: 0.2500 0.2500 0.2500 x8
Cd: 0.0000 0.0000 0.5000 x4

Values from the calculation:
The calculation puts the formation energy from the elements at -1.39 kJ per mole of atoms. The energy above the most stable polymorph in this dataset comes out at 0.124 eV per atom. The value obtained for the density of states at the Fermi level is 1.521 states/eV per atom.

---

Material: GdHoCdIr
Method: DFT, PBE
State: optimized geometry

Unit cell a=7.1427 b=7.1427 c=7.1427 alpha=90.00 beta=90.00 gamma=90.00
Space group F-43m (No. 216)
Symmetry-distinct sites (fractional):
Gd: 0.0000 0.0000 0.0000 x4
Ho: 0.0000 0.0000 0.5000 x4
Cd: 0.2500 0.2500 0.7500 x4
Ir: 0.2500 0.2500 0.2500 x4

Values from the calculation:
The calculation puts the formation energy from the elements at -51.69 kJ per mole of atoms. The value obtained for the density of states at the Fermi level is 0.639 states/eV per atom.